# 1
A relaxed ZnRhSe2 crystal. Source: the Alexandria database, functional PBE.

abc: 4.598 4.598 4.598
angles: 60.00 60.00 60.00
Sites, in units of the cell vectors:
1 Rh 0.500 0.500 0.500
2 Se 0.000 0.000 0.000
3 Zn 0.750 0.750 0.750
4 Se 0.250 0.250 0.250

For the formation energy (no corrections), the calculation gives 0.34 eV per atom. As for the mass density: 7.88 g/cm³.


# 2
A relaxed Zn4RhSe crystal. Source: the Alexandria database, functional PBE.

abc: 5.082 5.082 5.082
angles: 60.00 60.00 60.00
Sites, in units of the cell vectors:
1 Zn 0.873 0.376 0.376
2 Se 0.000 0.000 0.000
3 Zn 0.376 0.873 0.376
4 Rh 0.750 0.750 0.750
5 Zn 0.376 0.376 0.873
6 Zn 0.376 0.376 0.376

For the formation energy (no corrections), the calculation gives 0.09 eV per atom. As for the mass density: 7.94 g/cm³.


# 3
A relaxed ZnRhSe2 crystal. Source: the Alexandria database, functional PBE.

abc: 3.699 4.815 5.402
angles: 59.77 90.00 90.00
Sites, in units of the cell vectors:
1 Se 0.000 0.548 0.579
2 Zn 0.500 0.250 0.250
3 Se 0.000 0.952 0.921
4 Rh 0.500 0.750 0.750

For the formation energy (no corrections), the calculation gives -0.21 eV per atom. As for the mass density: 6.52 g/cm³.


# 4
A relaxed ZnRhSe crystal. Source: the Alexandria database, functional PBE.

abc: 4.227 4.227 4.227
angles: 60.00 60.00 60.00
Sites, in units of the cell vectors:
1 Zn 0.500 0.500 0.500
2 Se 0.000 0.000 0.000
3 Rh 0.750 0.750 0.750

For the energy above the lowest structure with this stoichiometry, the calculation gives 0.00 eV/f.u. For the formation energy (no corrections), the calculation gives -0.19 eV per atom. As for the mass density: 7.69 g/cm³.


# 5
A relaxed ZnRh2Se crystal. Source: the Alexandria database, functional PBE.

abc: 5.732 5.732 6.574
angles: 64.16 64.16 90.00
Sites, in units of the cell vectors:
1 Rh 0.875 0.893 0.750
2 Rh 0.643 0.125 0.250
3 Zn 0.500 0.500 0.000
4 Rh 0.107 0.625 0.250
5 Zn 0.250 0.750 0.500
6 Rh 0.375 0.357 0.750
7 Se 0.750 0.250 0.500
8 Se 0.000 0.000 0.000

For the formation energy (no corrections), the calculation gives 0.22 eV per atom. As for the mass density: 6.84 g/cm³.


# 6
A relaxed ZnRh2Se crystal. Source: the Alexandria database, functional PBE.

abc: 4.415 4.415 3.041
angles: 90.00 90.00 93.88
Sites, in units of the cell vectors:
1 Zn 0.000 0.500 0.500
2 Se 0.500 0.000 0.500
3 Rh 0.000 0.000 0.000
4 Rh 0.500 0.500 0.000

For the formation energy (no corrections), the calculation gives -0.16 eV per atom. As for the mass density: 9.83 g/cm³.